Entry from Alexandria via LeMat-Bulk: a relaxed structure of Sc2SiN (PBE-GGA).

a = 4.462 Å, b = 4.462 Å, c = 4.462 Å
α = 60.00°, β = 60.00°, γ = 60.00°
Element x y z (fractional)
Sc  0.250  0.250  0.250
Sc  0.750  0.750  0.750
N  0.000  0.000  0.000
Si  0.500  0.500  0.500

## Properties
ρ ... 3.5 g/cm3
SG ... Fm-3m, No. 225
Energy relative to the elements, uncorrected ... -0.23 eV/f.u.
Crystal system ... cubic